{
  "formula": "CsAgTeSe3",
  "functional": "PBE",
  "state": "relaxed",
  "total_energy_ev_per_atom": -3.27,
  "volume_a3_per_cell": 379.5,
  "lattice": [[9.0846, 0.0000, 0.0000], [0.0000, 4.2626, 0.0000], [-3.8900, 0.0000, 9.8002]],
  "species": ["Cs", "Cs", "Ag", "Ag", "Te", "Te", "Se", "Se", "Se", "Se", "Se", "Se"],
  "fractional_positions": [[0.2421, 0.2500, 0.2873], [0.7579, 0.7500, 0.7127], [0.0713, 0.2500, 0.5945], [0.9287, 0.7500, 0.4055], [0.3222, 0.7500, 0.8524], [0.6778, 0.2500, 0.1476], [0.1204, 0.2500, 0.8693], [0.2478, 0.7500, 0.5693], [0.4631, 0.7500, 0.1406], [0.5369, 0.2500, 0.8594], [0.7522, 0.2500, 0.4307], [0.8796, 0.7500, 0.1307]]
}


{
  "formula": "KTmTeO",
  "functional": "PBE",
  "state": "relaxed",
  "volume_a3_per_cell": 424.6,
  "polymorph_energy_mev_per_atom": 0,
  "lattice": [[8.9989, 0.0000, 0.0000], [0.0000, 7.2978, 0.0000], [-1.0561, 0.0000, 6.4662]],
  "species": ["K", "K", "K", "K", "Tm", "Tm", "Tm", "Tm", "Te", "Te", "Te", "Te", "O", "O", "O", "O"],
  "fractional_positions": [[0.1331, 0.0958, 0.3338], [0.1331, 0.4042, 0.8338], [0.8669, 0.5958, 0.1662], [0.8669, 0.9042, 0.6662], [0.4909, 0.6345, 0.7904], [0.4909, 0.8655, 0.2904], [0.5091, 0.1345, 0.7096], [0.5091, 0.3655, 0.2096], [0.2460, 0.5760, 0.3731], [0.2460, 0.9240, 0.8731], [0.7540, 0.0760, 0.1269], [0.7540, 0.4240, 0.6269], [0.4293, 0.1422, 0.3850], [0.4293, 0.3578, 0.8850], [0.5707, 0.6422, 0.1150], [0.5707, 0.8578, 0.6150]]
}


{
  "formula": "CsNbW",
  "functional": "PBE",
  "state": "relaxed",
  "volume_a3_per_cell": 69.3,
  "polymorph_energy_mev_per_atom": 1045,
  "lattice": [[0.0000, 3.2597, 3.2597], [3.2597, 0.0000, 3.2597], [3.2597, 3.2597, 0.0000]],
  "species": ["Cs", "Nb", "W"],
  "fractional_positions": [[0.0000, 0.0000, 0.0000], [0.7500, 0.7500, 0.7500], [0.2500, 0.2500, 0.2500]]
}


{
  "formula": "LiZrSiNi",
  "functional": "PBE",
  "state": "relaxed",
  "total_energy_ev_per_atom": -5.82,
  "volume_a3_per_cell": 55.1,
  "lattice": [[0.0000, 3.0199, 3.0199], [3.0199, 0.0000, 3.0199], [3.0199, 3.0199, 0.0000]],
  "species": ["Li", "Zr", "Si", "Ni"],
  "fractional_positions": [[0.0000, 0.0000, 0.0000], [0.7500, 0.7500, 0.7500], [0.2500, 0.2500, 0.2500], [0.5000, 0.5000, 0.5000]]
}


{
  "formula": "HfCoBMo",
  "functional": "PBE",
  "state": "relaxed",
  "volume_a3_per_cell": 52.7,
  "polymorph_energy_mev_per_atom": 0,
  "lattice": [[0.0000, 2.9766, 2.9766], [2.9766, 0.0000, 2.9766], [2.9766, 2.9766, 0.0000]],
  "species": ["Hf", "Co", "B", "Mo"],
  "fractional_positions": [[0.0000, 0.0000, 0.0000], [0.7500, 0.7500, 0.7500], [0.5000, 0.5000, 0.5000], [0.2500, 0.2500, 0.2500]]
}


{
  "formula": "SnMo3C",
  "functional": "PBE",
  "state": "relaxed",
  "total_energy_ev_per_atom": -9.01,
  "volume_a3_per_cell": 75.2,
  "lattice": [[4.2202, 0.0000, 0.0000], [0.0000, 4.2202, 0.0000], [0.0000, 0.0000, 4.2202]],
  "species": ["Sn", "Mo", "Mo", "Mo", "C"],
  "fractional_positions": [[0.0000, 0.0000, 0.0000], [0.0000, 0.5000, 0.5000], [0.5000, 0.0000, 0.5000], [0.5000, 0.5000, 0.0000], [0.5000, 0.5000, 0.5000]]
}


{
  "formula": "BaSr2OsO6",
  "functional": "PBE",
  "state": "relaxed",
  "total_energy_ev_per_atom": -6.68,
  "volume_a3_per_cell": 157.6,
  "lattice": [[-2.9745, 2.9745, 4.4527], [2.9745, -2.9745, 4.4527], [2.9745, 2.9745, -4.4527]],
  "species": ["Ba", "Sr", "Sr", "Os", "O", "O", "O", "O", "O", "O"],
  "fractional_positions": [[0.0000, 0.0000, 0.0000], [0.2500, 0.7500, 0.5000], [0.7500, 0.2500, 0.5000], [0.5000, 0.5000, 0.0000], [0.1985, 0.6163, 0.8148], [0.2781, 0.2781, 0.0000], [0.3837, 0.1985, 0.5822], [0.6163, 0.8015, 0.4178], [0.7219, 0.7219, 0.0000], [0.8015, 0.3837, 0.1852]]
}


{
  "formula": "LiAg3",
  "functional": "PBE",
  "state": "relaxed",
  "total_energy_ev_per_atom": -2.75,
  "volume_a3_per_cell": 137.2,
  "lattice": [[4.7375, 0.0000, 0.0000], [0.0000, 5.7868, 0.0000], [0.0000, 0.0000, 5.0028]],
  "species": ["Li", "Li", "Ag", "Ag", "Ag", "Ag", "Ag", "Ag"],
  "fractional_positions": [[0.2500, 0.2500, 0.1674], [0.7500, 0.7500, 0.8326], [0.2500, 0.9997, 0.6710], [0.2500, 0.5003, 0.6710], [0.2500, 0.7500, 0.1680], [0.7500, 0.0003, 0.3290], [0.7500, 0.2500, 0.8320], [0.7500, 0.4997, 0.3290]]
}